{"formula": "ScTaP2", "functional": "GGA-PBEsol", "state": "relaxed", "n_ef_per_ev_atom": 0.964, "total_energy_ev_per_atom": -8.213, "formation_energy_mev_per_atom": -529, "lattice_angstrom": [[3.582, 0.000, 0.000], [0.000, 3.582, 0.000], [-1.791, -1.791, 5.030]], "species": ["P", "P", "Sc", "Ta"], "frac_coords": [[0.000, 0.000, 0.000], [0.750, 0.250, 0.500], [0.500, 0.500, 0.000], [0.250, 0.750, 0.500]]}



{"formula": "ScTaP2", "functional": "GGA-PBEsol", "state": "relaxed", "n_ef_per_ev_atom": 0.476, "total_energy_ev_per_atom": -8.412, "formation_energy_mev_per_atom": -727, "lattice_angstrom": [[-2.586, -2.753, 0.192], [1.761, -4.230, 0.303], [-0.321, -2.009, 4.117]], "species": ["P", "P", "Sc", "Ta"], "frac_coords": [[0.248, 0.752, 0.752], [0.752, 0.248, 0.248], [0.500, 0.000, 0.000], [0.000, 0.500, 0.500]]}